[1]
Here is a relaxed NiH4Rh2 crystal from Alexandria. Energies are from PBE-GGA.

Geometry as CIF:
```
data_NiH4Rh2
_cell_length_a 2.845
_cell_length_b 4.424
_cell_length_c 5.112
_cell_angle_alpha 121.10
_cell_angle_beta 106.16
_cell_angle_gamma 90.00
_symmetry_space_group_name_H-M 'P 1'
_symmetry_Int_Tables_number 1
_symmetry_space_group_name_Hall 'P 1'
loop_
_atom_site_label
_atom_site_fract_x
_atom_site_fract_y
_atom_site_fract_z
_atom_site_occupancy
H1 0.875 0.169 0.749 1
H2 0.377 0.775 0.754 1
H3 0.125 0.831 0.251 1
H4 0.623 0.225 0.246 1
Ni1 0.000 0.000 0.000 1
Rh1 0.327 0.342 0.654 1
Rh2 0.673 0.658 0.346 1
```

Output
ΔE to the lowest computed polymorph, meV/atom: 0



[2]
Here is a relaxed NiH2Rh crystal from Alexandria. Energies are from PBE-GGA.

Geometry as CIF:
```
data_NiH2Rh
_cell_length_a 2.866
_cell_length_b 2.866
_cell_length_c 4.815
_cell_angle_alpha 72.84
_cell_angle_beta 72.82
_cell_angle_gamma 60.02
_symmetry_space_group_name_H-M 'P 1'
_symmetry_Int_Tables_number 1
_symmetry_space_group_name_Hall 'P 1'
loop_
_atom_site_label
_atom_site_fract_x
_atom_site_fract_y
_atom_site_fract_z
_atom_site_occupancy
H1 0.121 0.566 0.534 1
H2 0.603 0.049 0.087 1
Rh1 0.737 0.182 0.687 1
Ni1 0.243 0.688 0.170 1
```

Output
E, eV for the cell shown: -19.777



[3]
Here is a relaxed Ni6H19Rh4 crystal from Alexandria. Energies are from PBE-GGA.

Geometry as CIF:
```
data_Ni6H19Rh4
_cell_length_a 6.332
_cell_length_b 6.332
_cell_length_c 6.332
_cell_angle_alpha 109.47
_cell_angle_beta 109.47
_cell_angle_gamma 109.47
_symmetry_space_group_name_H-M 'P 1'
_symmetry_Int_Tables_number 1
_symmetry_space_group_name_Hall 'P 1'
loop_
_atom_site_label
_atom_site_fract_x
_atom_site_fract_y
_atom_site_fract_z
_atom_site_occupancy
H1 0.797 0.389 0.763 1
H2 0.000 0.302 0.302 1
H3 0.203 0.966 0.592 1
H4 0.966 0.592 0.203 1
H5 0.374 0.611 0.408 1
H6 0.237 0.626 0.034 1
H7 0.408 0.374 0.611 1
H8 0.000 0.698 0.698 1
H9 0.034 0.237 0.626 1
H10 0.698 0.000 0.698 1
H11 0.698 0.698 0.000 1
H12 0.302 0.000 0.302 1
H13 0.000 0.000 0.000 1
H14 0.626 0.034 0.237 1
H15 0.592 0.203 0.966 1
H16 0.611 0.408 0.374 1
H17 0.763 0.797 0.389 1
H18 0.389 0.763 0.797 1
H19 0.302 0.302 0.000 1
Ni1 0.676 0.500 0.176 1
Ni2 0.176 0.676 0.500 1
Ni3 0.824 0.324 0.500 1
Ni4 0.324 0.500 0.824 1
Ni5 0.500 0.824 0.324 1
Ni6 0.500 0.176 0.676 1
Rh1 0.713 0.000 0.000 1
Rh2 0.000 0.713 0.000 1
Rh3 0.287 0.287 0.287 1
Rh4 0.000 0.000 0.713 1
```

Output
E, eV for the cell shown: -126.363



[4]
Here is a relaxed NiH7Rh3 crystal from Alexandria. Energies are from PBE-GGA.

Geometry as CIF:
```
data_NiH7Rh3
_cell_length_a 5.116
_cell_length_b 5.116
_cell_length_c 6.216
_cell_angle_alpha 90.00
_cell_angle_beta 90.00
_cell_angle_gamma 108.55
_symmetry_space_group_name_H-M 'P 1'
_symmetry_Int_Tables_number 1
_symmetry_space_group_name_Hall 'P 1'
loop_
_atom_site_label
_atom_site_fract_x
_atom_site_fract_y
_atom_site_fract_z
_atom_site_occupancy
Rh1 0.494 0.956 0.250 1
Rh2 0.000 0.000 0.500 1
Rh3 0.506 0.044 0.750 1
Rh4 0.044 0.506 0.750 1
Rh5 0.956 0.494 0.250 1
Rh6 0.000 0.000 0.000 1
H1 0.401 0.143 0.478 1
H2 0.143 0.401 0.478 1
H3 0.857 0.599 0.522 1
H4 0.857 0.599 0.978 1
H5 0.409 0.409 0.750 1
H6 0.865 0.121 0.250 1
H7 0.143 0.401 0.022 1
H8 0.879 0.135 0.750 1
H9 0.135 0.879 0.750 1
H10 0.401 0.143 0.022 1
H11 0.599 0.857 0.522 1
H12 0.599 0.857 0.978 1
H13 0.591 0.591 0.250 1
H14 0.121 0.865 0.250 1
Ni1 0.500 0.500 0.000 1
Ni2 0.500 0.500 0.500 1
```

Output
E, eV for the cell shown: -101.892



[5]
Here is a relaxed Ni2HRh crystal from Alexandria. Energies are from PBE-GGA.

Geometry as CIF:
```
data_Ni2HRh
_cell_length_a 2.613
_cell_length_b 2.613
_cell_length_c 7.460
_cell_angle_alpha 79.91
_cell_angle_beta 79.91
_cell_angle_gamma 60.00
_symmetry_space_group_name_H-M 'P 1'
_symmetry_Int_Tables_number 1
_symmetry_space_group_name_Hall 'P 1'
loop_
_atom_site_label
_atom_site_fract_x
_atom_site_fract_y
_atom_site_fract_z
_atom_site_occupancy
Rh1 0.500 0.500 0.500 1
H1 0.000 0.000 0.000 1
Ni1 0.930 0.930 0.211 1
Ni2 0.070 0.070 0.789 1
```

Output
ΔE to the lowest computed polymorph, meV/atom: 216



[6]
Here is a relaxed NiHRh2 crystal from Alexandria. Energies are from PBE-GGA.

Geometry as CIF:
```
data_NiHRh2
_cell_length_a 5.880
_cell_length_b 5.880
_cell_length_c 4.865
_cell_angle_alpha 52.82
_cell_angle_beta 52.82
_cell_angle_gamma 90.00
_symmetry_space_group_name_H-M 'P 1'
_symmetry_Int_Tables_number 1
_symmetry_space_group_name_Hall 'P 1'
loop_
_atom_site_label
_atom_site_fract_x
_atom_site_fract_y
_atom_site_fract_z
_atom_site_occupancy
H1 0.250 0.750 0.500 1
H2 0.500 0.500 0.000 1
Rh1 0.535 0.125 0.250 1
Rh2 0.215 0.625 0.250 1
Rh3 0.875 0.785 0.750 1
Rh4 0.375 0.465 0.750 1
Ni1 0.000 0.000 0.000 1
Ni2 0.750 0.250 0.500 1
```

Output
ΔE to the lowest computed polymorph, meV/atom: 93



[7]
Here is a relaxed NiH2Rh crystal from Alexandria. Energies are from PBE-GGA.

Geometry as CIF:
```
data_NiH2Rh
_cell_length_a 4.571
_cell_length_b 4.696
_cell_length_c 5.563
_cell_angle_alpha 90.00
_cell_angle_beta 90.01
_cell_angle_gamma 90.00
_symmetry_space_group_name_H-M 'P 1'
_symmetry_Int_Tables_number 1
_symmetry_space_group_name_Hall 'P 1'
loop_
_atom_site_label
_atom_site_fract_x
_atom_site_fract_y
_atom_site_fract_z
_atom_site_occupancy
H1 0.000 0.750 0.670 1
H2 0.001 0.750 0.119 1
H3 0.000 0.250 0.330 1
H4 0.500 0.250 0.330 1
H5 0.499 0.250 0.881 1
H6 0.500 0.750 0.670 1
H7 0.501 0.750 0.119 1
H8 0.999 0.250 0.881 1
Rh1 0.750 0.576 0.367 1
Rh2 0.750 0.076 0.633 1
Rh3 0.250 0.424 0.633 1
Rh4 0.250 0.924 0.367 1
Ni1 0.750 0.081 0.117 1
Ni2 0.250 0.919 0.883 1
Ni3 0.250 0.419 0.117 1
Ni4 0.750 0.581 0.883 1
```

Output
E, eV for the cell shown: -79.023



[8]
Here is a relaxed Ni2H3Rh2 crystal from Alexandria. Energies are from PBE-GGA.

Geometry as CIF:
```
data_Ni2H3Rh2
_cell_length_a 2.789
_cell_length_b 4.624
_cell_length_c 4.823
_cell_angle_alpha 103.57
_cell_angle_beta 106.80
_cell_angle_gamma 90.00
_symmetry_space_group_name_H-M 'P 1'
_symmetry_Int_Tables_number 1
_symmetry_space_group_name_Hall 'P 1'
loop_
_atom_site_label
_atom_site_fract_x
_atom_site_fract_y
_atom_site_fract_z
_atom_site_occupancy
Ni1 0.134 0.370 0.267 1
Ni2 0.866 0.630 0.733 1
Rh1 0.616 0.849 0.232 1
Rh2 0.384 0.151 0.768 1
H1 0.000 0.000 0.000 1
H2 0.748 0.256 0.495 1
H3 0.252 0.744 0.505 1
```

Output
E, eV for the cell shown: -36.188



[9]
Here is a relaxed Ni2H12Rh5 crystal from Alexandria. Energies are from PBE-GGA.

Geometry as CIF:
```
data_Ni2H12Rh5
_cell_length_a 4.950
_cell_length_b 5.621
_cell_length_c 5.743
_cell_angle_alpha 104.74
_cell_angle_beta 90.00
_cell_angle_gamma 116.12
_symmetry_space_group_name_H-M 'P 1'
_symmetry_Int_Tables_number 1
_symmetry_space_group_name_Hall 'P 1'
loop_
_atom_site_label
_atom_site_fract_x
_atom_site_fract_y
_atom_site_fract_z
_atom_site_occupancy
H1 0.095 0.698 0.432 1
H2 0.091 0.643 0.908 1
H3 0.989 0.979 0.185 1
H4 0.398 0.302 0.568 1
H5 0.499 0.999 0.216 1
H6 0.905 0.302 0.568 1
H7 0.501 0.001 0.784 1
H8 0.602 0.698 0.432 1
H9 0.909 0.357 0.092 1
H10 0.448 0.357 0.092 1
H11 0.552 0.643 0.908 1
H12 0.011 0.021 0.815 1
Rh1 0.308 0.616 0.165 1
Rh2 0.692 0.384 0.835 1
Rh3 0.696 0.392 0.353 1
Rh4 0.000 0.000 0.500 1
Rh5 0.304 0.608 0.647 1
Ni1 0.245 0.000 0.000 1
Ni2 0.755 0.000 0.000 1
```

Output
E, eV for the cell shown: -87.611



[10]
Here is a relaxed Ni4H3Rh crystal from Alexandria. Energies are from PBE-GGA.

Geometry as CIF:
```
data_Ni4H3Rh
_cell_length_a 4.550
_cell_length_b 5.089
_cell_length_c 6.751
_cell_angle_alpha 109.83
_cell_angle_beta 90.00
_cell_angle_gamma 116.56
_symmetry_space_group_name_H-M 'P 1'
_symmetry_Int_Tables_number 1
_symmetry_space_group_name_Hall 'P 1'
loop_
_atom_site_label
_atom_site_fract_x
_atom_site_fract_y
_atom_site_fract_z
_atom_site_occupancy
H1 0.895 0.812 0.288 1
H2 0.709 0.394 0.394 1
H3 0.296 0.584 0.084 1
H4 0.684 0.394 0.894 1
H5 0.917 0.812 0.788 1
H6 0.288 0.584 0.584 1
Rh1 0.663 0.001 0.737 1
Rh2 0.339 0.001 0.237 1
Ni1 0.064 0.797 0.535 1
Ni2 0.871 0.396 0.138 1
Ni3 0.732 0.797 0.035 1
Ni4 0.128 0.596 0.834 1
Ni5 0.468 0.596 0.334 1
Ni6 0.938 0.201 0.439 1
Ni7 0.525 0.396 0.638 1
Ni8 0.262 0.201 0.939 1
```

Output
E, eV for the cell shown: -80.979



[11]
Here is a relaxed Ni5H12Rh crystal from Alexandria. Energies are from PBE-GGA.

Geometry as CIF:
```
data_Ni5H12Rh
_cell_length_a 4.451
_cell_length_b 4.450
_cell_length_c 8.424
_cell_angle_alpha 90.74
_cell_angle_beta 91.47
_cell_angle_gamma 60.00
_symmetry_space_group_name_H-M 'P 1'
_symmetry_Int_Tables_number 1
_symmetry_space_group_name_Hall 'P 1'
loop_
_atom_site_label
_atom_site_fract_x
_atom_site_fract_y
_atom_site_fract_z
_atom_site_occupancy
Ni1 0.667 0.667 0.000 1
Ni2 0.500 0.000 0.500 1
Ni3 0.167 0.667 0.500 1
Ni4 0.333 0.333 0.000 1
Ni5 0.833 0.333 0.500 1
H1 0.495 0.667 0.402 1
H2 0.654 0.000 0.893 1
H3 0.162 0.333 0.402 1
H4 0.346 0.000 0.107 1
H5 0.505 0.333 0.598 1
H6 0.665 0.340 0.107 1
H7 0.335 0.660 0.893 1
H8 0.828 0.000 0.401 1
H9 0.005 0.660 0.107 1
H10 0.838 0.667 0.598 1
H11 0.995 0.340 0.893 1
H12 0.172 0.000 0.599 1
Rh1 0.000 0.000 0.000 1
```

Output
E, eV for the cell shown: -76.143



[12]
Here is a relaxed Ni3H8Rh2 crystal from Alexandria. Energies are from PBE-GGA.

Geometry as CIF:
```
data_Ni3H8Rh2
_cell_length_a 4.319
_cell_length_b 5.216
_cell_length_c 4.980
_cell_angle_alpha 121.58
_cell_angle_beta 108.40
_cell_angle_gamma 90.00
_symmetry_space_group_name_H-M 'P 1'
_symmetry_Int_Tables_number 1
_symmetry_space_group_name_Hall 'P 1'
loop_
_atom_site_label
_atom_site_fract_x
_atom_site_fract_y
_atom_site_fract_z
_atom_site_occupancy
H1 0.586 0.078 0.735 1
H2 0.013 0.374 0.748 1
H3 0.066 0.879 0.758 1
H4 0.586 0.657 0.735 1
H5 0.987 0.626 0.252 1
H6 0.934 0.121 0.242 1
H7 0.414 0.343 0.265 1
H8 0.414 0.922 0.265 1
Ni1 0.000 0.743 0.000 1
Ni2 0.500 0.000 0.000 1
Ni3 0.000 0.257 0.000 1
Rh1 0.651 0.694 0.389 1
Rh2 0.349 0.306 0.611 1
```

Output
E, eV for the cell shown: -58.610